Record 1
A relaxed NaTbTl2 crystal. Source: Alexandria via LeMat-Bulk, functional GGA-PBE.

Calculated values
As for the formation energy: -0.231 eV per atom. As for the space group: Fm-3m, No. 225. Its total magnetization is 0.00 μB/atom.

The structure in POSCAR format:
```
NaTbTl2
1.0
-4.180 3.243 0.764
-4.949 -2.012 0.158
-2.682 -0.140 4.621
Tl Na Tb
2 1 1
Cartesian
-5.905 0.545 2.771
0.000 0.000 0.000
-8.858 0.818 4.157
-2.953 0.273 1.386
```

---

Record 2
A relaxed LaTb2YTm2 crystal. Source: Alexandria via LeMat-Bulk, functional GGA-PBE.

Calculated values
As for the formation energy: 0.067 eV per atom. As for the space group: Pnnm, No. 58. Its total magnetization is 0.00 μB/atom.

The structure in POSCAR format:
```
LaTb2YTm2
1.0
5.629 0.000 0.000
0.000 9.829 0.000
0.000 0.000 6.957
Y Tb Tm La
2 4 4 2
Cartesian
0.000 0.000 3.479
2.815 4.914 0.000
2.815 8.195 1.757
0.000 6.549 5.236
0.000 3.280 1.721
2.815 1.634 5.200
0.000 3.274 5.223
2.815 8.188 5.213
2.815 1.641 1.745
0.000 6.555 1.734
0.000 0.000 0.000
2.815 4.914 3.479
```

---

Record 3
A relaxed SnHgSe crystal. Source: Alexandria via LeMat-Bulk, functional GGA-PBE.

Calculated values
As for the energy relative to the lowest polymorph listed for this composition: 22.5 meV per atom. As for the space group: P3m1, No. 156. The uncorrected formation energy comes out at -0.243 eV/atom. Its total magnetization is 0.00 μB/atom.

The structure in POSCAR format:
```
SnHgSe
1.0
4.292 0.000 0.000
-2.146 3.717 0.000
0.000 0.000 5.635
Sn Hg Se
1 1 1
Cartesian
2.146 1.239 2.090
0.000 0.000 0.062
0.000 2.478 3.483
```

---

Record 4
A relaxed Sr3Si2SbPd9 crystal. Source: Alexandria via LeMat-Bulk, functional GGA-PBE.

Calculated values
As for the space group: P-3m1, No. 164. The uncorrected formation energy comes out at -0.600 eV/atom. Its total magnetization is 0.00 μB/atom.

The structure in POSCAR format:
```
Sr3Si2SbPd9
1.0
-0.727 3.275 5.518
1.361 -6.311 0.146
8.924 1.926 0.032
Pd Si Sb Sr
9 2 1 3
Cartesian
3.110 -2.541 3.997
3.510 -4.343 0.960
6.449 1.430 1.699
0.317 -1.518 2.832
0.681 -3.155 0.073
6.798 -0.241 4.816
6.049 3.233 4.736
2.760 -0.870 0.880
-0.363 1.637 2.759
7.440 1.692 3.754
2.119 -2.802 1.942
4.462 0.963 0.016
0.000 0.000 0.000
6.599 -1.835 1.958
2.959 0.725 3.738
```

---

Record 5
A relaxed Mg2Ag3Hg2 crystal. Source: Alexandria via LeMat-Bulk, functional GGA-PBE.

Calculated values
As for the formation energy: -0.026 eV per atom. As for the energy relative to the lowest polymorph listed for this composition: 70.6 meV per atom. As for the space group: I2_13, No. 199. Its total magnetization is 0.00 μB/atom.

The structure in POSCAR format:
```
Mg2Ag3Hg2
1.0
6.909 0.000 -2.443
-3.455 5.984 -2.443
0.000 0.000 7.328
Ag Hg Mg
6 4 4
Cartesian
6.022 1.454 -1.187
2.615 1.537 3.630
2.639 4.488 -3.630
4.270 1.496 1.187
1.703 0.042 1.255
3.479 2.950 -1.255
0.000 0.000 6.224
-1.207 3.893 2.811
0.686 2.992 -2.075
0.521 5.082 0.368
5.036 2.992 -3.613
1.800 2.866 1.273
3.527 0.126 -1.170
0.000 0.000 3.510
```

---

Record 6
A relaxed LiCu2I2Cl crystal. Source: Alexandria via LeMat-Bulk, functional GGA-PBE.

Calculated values
As for the space group: Cmc2_1, No. 36. The uncorrected formation energy comes out at -0.627 eV/atom. Its total magnetization is 0.00 μB/atom.

The structure in POSCAR format:
```
LiCu2I2Cl
1.0
-5.778 -3.635 -1.409
3.682 -6.169 0.815
-3.280 3.025 5.647
Li Cu Cl I
2 4 2 4
Cartesian
1.200 -6.660 0.220
-4.442 -3.865 -1.094
-4.935 -4.009 3.140
-0.970 -3.103 1.783
-2.575 -7.072 1.363
-3.330 -0.040 3.561
-0.934 -7.640 -0.297
-0.483 -1.737 -0.132
-1.335 -1.691 3.951
-3.124 -4.512 1.325
0.995 -4.755 2.302
-5.454 -1.447 2.974
```

---

Record 7
A relaxed Tb2PmSm4Tm crystal. Source: Alexandria via LeMat-Bulk, functional GGA-PBE.

Calculated values
As for the formation energy: 0.018 eV per atom. As for the space group: P2/m, No. 10. Its total magnetization is 0.00 μB/atom.

The structure in POSCAR format:
```
Tb2PmSm4Tm
1.0
3.603 0.000 0.000
0.000 6.220 0.012
0.000 2.084 11.733
Sm Pm Tm Tb
4 1 1 2
Cartesian
1.801 3.117 8.776
1.801 5.187 2.970
0.000 6.227 8.783
3.603 2.076 2.963
1.801 3.110 0.006
0.000 4.152 5.873
1.801 1.042 5.867
0.000 2.084 11.733
```

---

Record 8
A relaxed TlAgSe crystal. Source: Alexandria via LeMat-Bulk, functional GGA-PBE.

Calculated values
As for the energy relative to the lowest polymorph listed for this composition: 62.1 meV per atom. As for the space group: P2_1/c, No. 14. The uncorrected formation energy comes out at -0.185 eV/atom. Its total magnetization is 0.00 μB/atom.

The structure in POSCAR format:
```
TlAgSe
1.0
7.781 -1.522 0.000
-4.355 6.007 0.000
0.000 0.000 8.980
Tl Ag Se
4 4 4
Cartesian
-2.609 5.010 5.286
6.035 -0.525 3.694
1.281 4.249 8.184
2.145 0.237 0.796
5.187 1.773 1.401
1.297 2.534 3.089
-1.762 2.712 7.579
2.129 1.951 5.891
3.669 1.502 3.501
-0.243 2.984 5.479
3.647 2.222 7.991
-0.222 2.263 0.989
```

---

- Which value of total magnetization does entry 2 give?
  0.00 μB/atom

---

- Which value of total magnetization does entry 1 give?
  0.00 μB/atom

---

- What is the total magnetization in the fourth record?
  0.00 μB/atom

---

Please write out number 7 again, unchanged.
A relaxed Tb2PmSm4Tm crystal. Source: Alexandria via LeMat-Bulk, functional GGA-PBE.

Calculated values
As for the formation energy: 0.018 eV per atom. As for the space group: P2/m, No. 10. Its total magnetization is 0.00 μB/atom.

The structure in POSCAR format:
```
Tb2PmSm4Tm
1.0
3.603 0.000 0.000
0.000 6.220 0.012
0.000 2.084 11.733
Sm Pm Tm Tb
4 1 1 2
Cartesian
1.801 3.117 8.776
1.801 5.187 2.970
0.000 6.227 8.783
3.603 2.076 2.963
1.801 3.110 0.006
0.000 4.152 5.873
1.801 1.042 5.867
0.000 2.084 11.733
```